Below is a relaxed CaSc3Be crystal, with properties calculated at the GGA-PBEsol level.

a = 4.9855 Å, b = 4.9855 Å, c = 4.9855 Å
α = 90.00°, β = 90.00°, γ = 90.00°
Fractional positions:
Ca 0.0000 0.0000 0.0000
Sc 0.0000 0.5000 0.5000
Sc 0.5000 0.0000 0.5000
Sc 0.5000 0.5000 0.0000
Be 0.5000 0.5000 0.5000

Values from the calculation:
space-group type	Pm-3m, No. 221
uncorrected energy	-24.6	eV for the cell shown